# 1
Entry from Alexandria via LeMat-Bulk: a relaxed Tm3FeB7 crystal (GGA-PBE).

Summary:
formation enthalpy at 0 K = -0.661 eV/atom
space group = No. 63
N(E_F) = 0.334 states/eV per atom
calculated total energy = -6.899 eV/atom

Structure (POSCAR):
```
Tm3FeB7
1.0
1.688 -7.739 0.000
1.688 7.739 0.000
0.000 0.000 9.195
Tm Fe B
6 2 14
direct
0.105 0.895 0.560
0.105 0.895 0.940
0.243 0.757 0.250
0.757 0.243 0.750
0.895 0.105 0.060
0.895 0.105 0.440
0.053 0.947 0.250
0.947 0.053 0.750
0.272 0.728 0.533
0.272 0.728 0.967
0.370 0.630 0.653
0.370 0.630 0.847
0.457 0.543 0.250
0.479 0.521 0.598
0.479 0.521 0.902
0.521 0.479 0.098
0.521 0.479 0.402
0.543 0.457 0.750
0.630 0.370 0.153
0.630 0.370 0.347
0.728 0.272 0.033
0.728 0.272 0.467
```

=====

# 2
Entry from Alexandria via LeMat-Bulk: a relaxed TmFe4B2 crystal (GGA-PBE).

Summary:
formation enthalpy at 0 K = -0.294 eV/atom
space group = No. 65
N(E_F) = 0.768 states/eV per atom
calculated total energy = -7.677 eV/atom

Structure (POSCAR):
```
TmFe4B2
1.0
1.751 -6.138 0.000
1.751 6.138 0.000
0.000 0.000 3.502
Tm Fe B
1 4 2
direct
0.000 0.000 0.000
0.184 0.816 0.500
0.312 0.688 0.000
0.688 0.312 0.000
0.816 0.184 0.500
0.417 0.583 0.500
0.583 0.417 0.500
```

=====

# 3
Entry from Alexandria via LeMat-Bulk: a relaxed Tm2FeB10 crystal (GGA-PBE).

Summary:
formation enthalpy at 0 K = -0.479 eV/atom
space group = No. 55
N(E_F) = 0.128 states/eV per atom
calculated total energy = -6.955 eV/atom

Structure (POSCAR):
```
Tm2FeB10
1.0
5.548 0.000 0.000
0.000 11.052 0.000
0.000 0.000 4.130
Tm Fe B
4 2 20
direct
0.220 0.127 0.000
0.280 0.627 0.000
0.720 0.373 0.000
0.780 0.873 0.000
0.000 0.500 0.500
0.500 0.000 0.500
0.031 0.314 0.500
0.128 0.961 0.500
0.156 0.801 0.500
0.205 0.386 0.201
0.205 0.386 0.799
0.295 0.886 0.201
0.295 0.886 0.799
0.344 0.301 0.500
0.372 0.461 0.500
0.469 0.814 0.500
0.531 0.186 0.500
0.628 0.539 0.500
0.656 0.699 0.500
0.705 0.114 0.201
0.705 0.114 0.799
0.795 0.614 0.201
0.795 0.614 0.799
0.844 0.199 0.500
0.872 0.039 0.500
0.969 0.686 0.500
```

=====

# 4
Entry from Alexandria via LeMat-Bulk: a relaxed TmFeB2 crystal (GGA-PBE).

Summary:
formation enthalpy at 0 K = -0.336 eV/atom
space group = No. 166
N(E_F) = 0.628 states/eV per atom
calculated total energy = -6.908 eV/atom

Structure (POSCAR):
```
TmFeB2
1.0
1.728 0.998 4.548
-1.728 0.998 4.548
0.000 -1.995 4.548
Tm Fe B
1 1 2
direct
0.000 0.000 0.000
0.500 0.500 0.500
0.197 0.197 0.197
0.803 0.803 0.803
```

=====

calculated total energy of number 1 (Tm3FeB7)? -6.899 eV/atom